No. 1
A plane-wave DFT calculation with PBE was carried out for La2SiPt6 after structural relaxation.

Computed properties:
The calculation puts the energy above the lowest structure with this stoichiometry at 0 kJ/mol of formula units. The value obtained for the total moment is 0.00 μB/f.u. For the total energy, the calculation gives -6.75 eV/atom. The volume is 19.0 Å³ per atom.

Unit cell a=5.7662 b=5.7662 c=5.9465 alpha=90.00 beta=90.00 gamma=120.00
Space group P-3m1 (No. 164)
Asymmetric unit:
La  0.3333  0.6667  0.3276 x2
Si  0.0000  0.0000  0.5000 x1
Pt  0.1697  0.3394  0.8014 x6

***

No. 2
A plane-wave DFT calculation with PBE was carried out for Ba5Ga2Se8 after structural relaxation.

Computed properties:
The value obtained for the total moment is 0.00 μB/f.u. For the total energy, the calculation gives -4.49 eV/atom. The volume is 31.4 Å³ per atom.

Unit cell a=23.853 b=12.729 c=12.428 alpha=90.00 beta=90.00 gamma=90.00
Space group Cmce (No. 64)
Asymmetric unit:
Ba  0.097  0.160  0.005 x16
Ba  0.100  0.001  0.342 x16
Ba  0.250  0.243  0.750 x8
Ga  0.000  0.187  0.731 x8
Ga  0.249  0.000  0.500 x8
Se  0.000  0.027  0.851 x8
Se  0.000  0.145  0.534 x8
Se  0.093  0.243  0.258 x16
Se  0.187  0.000  0.150 x16
Se  0.187  0.150  0.502 x16

***

No. 3
A plane-wave DFT calculation with PBE was carried out for SiAs3Cl after structural relaxation.

Computed properties:
The calculation puts the energy above the lowest structure with this stoichiometry at 0 kJ/mol of formula units. The value obtained for the total moment is 0.00 μB/f.u. For the total energy, the calculation gives -3.62 eV/atom. The volume is 22.4 Å³ per atom.

Unit cell a=4.818 b=4.818 c=4.818 alpha=90.00 beta=90.00 gamma=90.00
Space group Pm-3m (No. 221)
Asymmetric unit:
Si  0.000  0.000  0.000 x1
As  0.000  0.000  0.500 x3
Cl  0.500  0.500  0.500 x1

***

No. 4
A plane-wave DFT calculation with PBE was carried out for Cu2RuBr after structural relaxation.

Computed properties:
The calculation puts the energy above the lowest structure with this stoichiometry at 139 kJ/mol of formula units. The value obtained for the total moment is 0.69 μB/f.u. For the total energy, the calculation gives -3.97 eV/atom. The volume is 15.0 Å³ per atom.

Unit cell a=3.741 b=3.741 c=8.584 alpha=90.00 beta=90.00 gamma=90.00
Space group I4/mmm (No. 139)
Asymmetric unit:
Cu  0.000  0.500  0.250 x4
Ru  0.000  0.000  0.000 x2
Br  0.000  0.000  0.500 x2

***

No. 5
A plane-wave DFT calculation with PBE was carried out for CdTe2As after structural relaxation.

Computed properties:
The calculation puts the energy above the lowest structure with this stoichiometry at 128 kJ/mol of formula units. The value obtained for the total moment is 0.00 μB/f.u. For the total energy, the calculation gives -2.71 eV/atom. The volume is 27.3 Å³ per atom.

Unit cell a=3.361 b=3.361 c=9.654 alpha=90.00 beta=90.00 gamma=90.00
Space group P4mm (No. 99)
Asymmetric unit:
Cd  0.000  0.000  0.000 x1
Te  0.000  0.000  0.610 x1
Te  0.500  0.500  0.254 x1
As  0.500  0.500  0.787 x1

***

No. 6
A plane-wave DFT calculation with PBE was carried out for Cd2FeSb after structural relaxation.

Computed properties:
The value obtained for the total moment is 2.54 μB/f.u. For the total energy, the calculation gives -3.25 eV/atom. The volume is 20.2 Å³ per atom.

Unit cell a=4.095 b=4.095 c=9.643 alpha=90.00 beta=90.00 gamma=90.00
Space group I4/mmm (No. 139)
Asymmetric unit:
Cd  0.000  0.500  0.250 x4
Fe  0.000  0.000  0.000 x2
Sb  0.000  0.000  0.500 x2